Entry 1:
Entry from Alexandria via LeMat-Bulk: crystalline PrDy2Sc at its relaxed geometry (PBE).

## Properties
DOS at the Fermi energy in states/eV/f.u.: 5.77
Energy above the lowest structure with this stoichiometry in meV per atom: 7
Total energy in eV per formula unit: -20.11
ΔE_f in eV per atom: 0.051

Lattice parameters (Å, degrees): 3.5405 3.5405 11.5520 81.19 81.19 60.00
Element x y z (fractional)
1 Dy 0.0785 0.0785 0.7644
2 Dy 0.2548 0.2548 0.2355
3 Sc 0.6663 0.6663 0.0011
4 Pr 0.5003 0.5003 0.4990

---

Entry 2:
Entry from Alexandria via LeMat-Bulk: crystalline PrDy6Sc2 at its relaxed geometry (PBE).

## Properties
DOS at the Fermi energy in states/eV/f.u.: 12.67
Energy above the lowest structure with this stoichiometry in meV per atom: 206
Total energy in eV per formula unit: -41.44
ΔE_f in eV per atom: 0.402

Lattice parameters (Å, degrees): 7.2223 7.2223 7.5645 61.49 61.49 60.00
Element x y z (fractional)
1 Dy 0.0458 0.6130 0.2950
2 Dy 0.6130 0.0462 0.2950
3 Dy 0.2633 0.2636 0.6937
4 Dy 0.0462 0.0458 0.2950
5 Dy 0.7794 0.2633 0.6937
6 Dy 0.2636 0.7794 0.6937
7 Sc 0.7562 0.7562 0.7313
8 Sc 0.5802 0.5802 0.2594
9 Pr 0.3179 0.3179 0.0463